1.
# AlFeI2N, relaxed, DFT GGA-PBE
data_AlFeI2N
_chemical_formula_sum 'Al1 Fe1 I2 N1'
_space_group_name_H-M_alt 'P 1'
_space_group_IT_number 1
_cell_length_a 5.696
_cell_length_b 5.696
_cell_length_c 3.553
_cell_angle_alpha 90.00
_cell_angle_beta 90.00
_cell_angle_gamma 90.00
loop_
_space_group_symop_operation_xyz
'x,y,z'
loop_
_atom_site_label
_atom_site_type_symbol
_atom_site_fract_x
_atom_site_fract_y
_atom_site_fract_z
Al1 Al 0.000 0.000 0.000
N1 N 0.000 0.000 0.500
Fe1 Fe 0.500 0.500 0.500
I1 I 0.000 0.500 0.000
I2 I 0.500 0.000 0.000
# DFT total energy: -20.77 eV per cell
# ΔE to the lowest computed polymorph: 185 meV per atom
# formation energy without anion corrections: 0.5713 eV/atom

2.
# AlFe2OsI, relaxed, DFT GGA-PBE
data_AlFe2OsI
_chemical_formula_sum 'Al1 Fe2 Os1 I1'
_space_group_name_H-M_alt 'P 1'
_space_group_IT_number 1
_cell_length_a 4.728
_cell_length_b 5.328
_cell_length_c 4.728
_cell_angle_alpha 90.00
_cell_angle_beta 90.00
_cell_angle_gamma 90.00
loop_
_space_group_symop_operation_xyz
'x,y,z'
loop_
_atom_site_label
_atom_site_type_symbol
_atom_site_fract_x
_atom_site_fract_y
_atom_site_fract_z
I1 I 0.000 0.500 0.000
Fe1 Fe 0.500 0.000 0.000
Fe2 Fe 0.000 0.000 0.500
Al1 Al 0.500 0.500 0.500
Os1 Os 0.000 0.000 0.000
# DFT total energy: -26.32 eV per cell
# formation energy without anion corrections: 1.4264 eV/atom

3.
# AlFePt2I, relaxed, DFT GGA-PBE
data_AlFePt2I
_chemical_formula_sum 'Al1 Fe1 Pt2 I1'
_space_group_name_H-M_alt 'P 1'
_space_group_IT_number 1
_cell_length_a 4.689
_cell_length_b 4.651
_cell_length_c 4.689
_cell_angle_alpha 90.00
_cell_angle_beta 90.00
_cell_angle_gamma 90.00
loop_
_space_group_symop_operation_xyz
'x,y,z'
loop_
_atom_site_label
_atom_site_type_symbol
_atom_site_fract_x
_atom_site_fract_y
_atom_site_fract_z
Al1 Al 0.000 0.000 0.000
Pt1 Pt 0.000 0.000 0.500
Pt2 Pt 0.500 0.000 0.000
Fe1 Fe 0.000 0.500 0.000
I1 I 0.500 0.500 0.500
# DFT total energy: -22.43 eV per cell
# formation energy without anion corrections: 0.6807 eV/atom

4.
# AlFeSb2I, relaxed, DFT GGA-PBE
data_AlFeSb2I
_chemical_formula_sum 'Al1 Fe1 Sb2 I1'
_space_group_name_H-M_alt 'P 1'
_space_group_IT_number 1
_cell_length_a 4.838
_cell_length_b 4.838
_cell_length_c 5.855
_cell_angle_alpha 90.00
_cell_angle_beta 90.00
_cell_angle_gamma 90.00
loop_
_space_group_symop_operation_xyz
'x,y,z'
loop_
_atom_site_label
_atom_site_type_symbol
_atom_site_fract_x
_atom_site_fract_y
_atom_site_fract_z
Sb1 Sb 0.500 0.000 0.000
Sb2 Sb 0.000 0.500 0.000
Fe1 Fe 0.000 0.000 0.000
Al1 Al 0.500 0.500 0.500
I1 I 0.000 0.000 0.500
# DFT total energy: -19.46 eV per cell
# formation energy without anion corrections: 0.5088 eV/atom